# 1
The following is a DFT calculation (PBE-GGA) of SrCaTi3 after structural relaxation.

a = 5.139 Å, b = 5.139 Å, c = 5.139 Å
α = 90.00°, β = 90.00°, γ = 90.00°
Fractional coordinates of all 5 atoms:
Sr 0.000 0.000 0.000
Ca 0.500 0.500 0.500
Ti 0.000 0.500 0.500
Ti 0.500 0.000 0.500
Ti 0.500 0.500 0.000

Output
The energy of formation is 1.434 eV per atom. As for the symmetry: Pm-3m (221).

***

# 2
The following is a DFT calculation (PBE-GGA) of Sr3CaTi after structural relaxation.

a = 6.323 Å, b = 6.323 Å, c = 6.323 Å
α = 90.00°, β = 90.00°, γ = 90.00°
Fractional coordinates of all 5 atoms:
Sr 0.000 0.000 0.500
Sr 0.000 0.500 0.000
Sr 0.500 0.000 0.000
Ca 0.500 0.500 0.500
Ti 0.000 0.000 0.000

Output
The energy of formation is 0.617 eV per atom. As for the symmetry: Pm-3m (221).

***

# 3
The following is a DFT calculation (PBE-GGA) of SrCaTi after structural relaxation.

a = 8.776 Å, b = 3.632 Å, c = 13.077 Å
α = 90.00°, β = 90.00°, γ = 90.00°
Fractional coordinates of all 12 atoms:
Sr 0.178 0.250 0.058
Sr 0.322 0.750 0.558
Sr 0.678 0.250 0.442
Sr 0.822 0.750 0.942
Ca 0.142 0.250 0.774
Ca 0.358 0.750 0.274
Ca 0.642 0.250 0.726
Ca 0.858 0.750 0.226
Ti 0.051 0.250 0.426
Ti 0.449 0.750 0.926
Ti 0.551 0.250 0.074
Ti 0.949 0.750 0.574

Output
The energy of formation is 0.473 eV per atom. As for the symmetry: Pnma (62).

***

Question: Look up the energy of formation of the first one.
Answer: 1.434 eV per atom